Material: Hf2MgTc
Method: DFT, PBE-GGA
State: optimized geometry

Density in Mg/m³: 10.717
DFT total energy in eV/atom: -7.83
Symmetry: F-43m (216)

Unit cell a=6.6724 b=6.6724 c=6.6724 alpha=90.00 beta=90.00 gamma=90.00
Fractional positions:
Hf 0.0000 0.0000 0.0000
Hf 0.0000 0.5000 0.5000
Hf 0.2500 0.2500 0.2500
Hf 0.2500 0.7500 0.7500
Hf 0.5000 0.0000 0.5000
Hf 0.5000 0.5000 0.0000
Hf 0.7500 0.2500 0.7500
Hf 0.7500 0.7500 0.2500
Mg 0.2500 0.2500 0.7500
Mg 0.2500 0.7500 0.2500
Mg 0.7500 0.2500 0.2500
Mg 0.7500 0.7500 0.7500
Tc 0.0000 0.0000 0.5000
Tc 0.0000 0.5000 0.0000
Tc 0.5000 0.0000 0.0000
Tc 0.5000 0.5000 0.5000